This record from Alexandria via LeMat-Bulk describes a geometry-optimized ReAs2Au structure. The functional is PBE.

Crystal system ... orthorhombic
Formation energy from the elements ... 0.5304 eV/atom
Relative energy among the computed polymorphs ... 0.3469 eV/atom
Spin magnetization ... 0.00 Bohr magnetons per cell
E ... -5.73 eV per atom

abc: 6.1908 8.6514 2.6836
angles: 90.00 90.00 90.00
Space group Cmmm (No. 65)
Inequivalent atoms, fractional coordinates:
Re: 0.0000 0.0000 0.0000 [2 per cell]
As: 0.2500 0.2500 0.0000 [4 per cell]
Au: 0.0000 0.5000 0.0000 [2 per cell]